Record 1
Tm2Ta4N9 | PBE | optimized geometry

```
Tm2Ta4N9
1.0
5.4321 0.0002 0.0124
2.7151 4.7042 0.0305
-0.0287 -0.0740 14.7851
Tm Ta N
4 8 18
direct
0.9996 0.0000 0.3616
0.9997 0.0002 0.1384
0.0004 0.0000 0.6384
0.0003 0.9998 0.8616
0.3334 0.3333 0.9801
0.3331 0.3333 0.4801
0.6666 0.6667 0.0199
0.3329 0.3337 0.1930
0.6669 0.6667 0.5199
0.6660 0.6668 0.3070
0.3340 0.3332 0.6930
0.6671 0.6663 0.8070
0.0002 0.3261 0.7499
0.3263 0.6740 0.7500
0.6742 0.0001 0.7501
0.9998 0.6739 0.2501
0.6737 0.3260 0.2500
0.3258 0.9999 0.2499
0.6163 0.9793 0.4154
0.9794 0.4039 0.4155
0.4040 0.6165 0.4154
0.5959 0.0206 0.0846
0.3834 0.5959 0.0846
0.0206 0.3835 0.0846
0.3837 0.0207 0.5846
0.0206 0.5961 0.5845
0.5960 0.3835 0.5846
0.4041 0.9794 0.9154
0.6166 0.4041 0.9154
0.9794 0.6165 0.9154
```

Values from the calculation:
Fermi-level density of states = 17.00 states/eV/cell
ρ = 10.44 Mg/m³
crystal system = trigonal
formation energy (no corrections) = -16.634 eV/f.u.

***

Record 2
GaReS3 | PBE | optimized geometry

```
GaReS3
1.0
-3.3933 -3.1098 -0.4244
1.6363 -1.2195 -4.1473
2.6783 -3.1949 1.9961
Re S Ga
1 3 1
direct
0.5000 0.5000 0.5000
0.0000 0.5000 0.0000
0.0000 0.0000 0.5000
0.5000 0.0000 0.0000
0.0000 0.0000 0.0000
```

Values from the calculation:
Fermi-level density of states = 3.85 states/eV/cell
excess energy over the best structure of this formula in the dataset = 1024.0 meV per atom
ρ = 5.92 Mg/m³
crystal system = cubic
formation energy (no corrections) = 5.898 eV/f.u.

***

Record 3
Sn2SbHOs | PBE | optimized geometry

```
Sn2SbHOs
1.0
-2.7717 -1.5319 -4.3122
2.2374 -2.7063 -0.4767
-3.0872 -3.0955 3.0840
Sb Os Sn H
1 1 2 1
direct
0.5000 0.5000 0.5000
0.0000 0.0000 0.0000
0.0000 0.0000 0.5000
0.5000 0.0000 0.0000
0.0000 0.5000 0.0000
```

Values from the calculation:
Fermi-level density of states = 3.93 states/eV/cell
ρ = 9.01 Mg/m³
crystal system = tetragonal
electronic total energy = -24.58 eV for the cell shown

***

Record 4
CrMoPb2 | PBE | optimized geometry

```
CrMoPb2
1.0
-1.4345 2.4079 -2.1425
-3.1897 -1.3970 0.5656
-0.8796 4.1230 5.2225
Cr Mo Pb
1 1 2
direct
0.5000 0.5000 0.2500
0.5000 0.5000 0.7500
0.0000 0.0000 0.9884
0.0000 0.0000 0.5116
```

Values from the calculation:
Fermi-level density of states = 3.40 states/eV/cell
excess energy over the best structure of this formula in the dataset = 387.7 meV per atom
ρ = 11.18 Mg/m³
crystal system = tetragonal
ΔE_f = 0.769 eV/atom

***

Record 5
Ti6IrPd | PBE | optimized geometry

```
Ti6IrPd
1.0
-2.8144 -2.0058 -6.2288
2.2172 -5.9697 -3.1735
-2.2493 -4.1655 -1.7206
Ti Ir Pd
6 1 1
direct
0.0002 0.4990 0.7487
0.7523 0.0005 0.7471
0.5026 0.2479 0.2498
0.2477 0.9995 0.2529
0.9998 0.5010 0.2513
0.4974 0.7521 0.7502
0.0000 0.0000 0.0000
0.5000 0.5000 0.5000
```

Values from the calculation:
Fermi-level density of states = 12.34 states/eV/cell
excess energy over the best structure of this formula in the dataset = 0.0 meV per atom
ρ = 7.63 Mg/m³
crystal system = triclinic
ΔE_f = -0.449 eV/atom

***

Record 6
Cs5SbF8 | PBE | optimized geometry

```
Cs5SbF8
1.0
6.9203 0.2475 -2.7734
-3.8241 6.1141 -1.9069
0.1548 -0.2475 7.4537
Cs Sb F
5 1 8
direct
0.6263 0.6170 0.7490
0.1319 0.0092 0.3830
0.3737 0.1227 0.9908
0.0000 0.5000 0.5000
0.8681 0.2510 0.8773
0.5000 0.7500 0.2500
0.3149 0.4334 0.2631
0.8298 0.8815 0.5666
0.7121 0.5761 0.1711
0.5950 0.1360 0.4239
0.4050 0.8289 0.5410
0.1702 0.7369 0.0518
0.6851 0.9482 0.1185
0.2879 0.4590 0.8640
```

Values from the calculation:
Fermi-level density of states = 0.00 states/eV/cell
ρ = 4.88 Mg/m³
crystal system = tetragonal
formation energy (no corrections) = -35.585 eV/f.u.

***

Record 7
RbCdSn2Cl | PBE | optimized geometry

```
RbCdSn2Cl
1.0
-2.9437 -1.8062 4.3514
3.1427 -5.0994 0.0093
3.7016 2.2875 3.4536
Cl Sn Rb Cd
1 2 1 1
direct
0.0000 0.0000 0.0000
0.0000 0.0000 0.5000
0.5000 0.0000 0.0000
0.0000 0.5000 0.0000
0.5000 0.5000 0.5000
```

Values from the calculation:
Fermi-level density of states = 3.32 states/eV/cell
ρ = 4.23 Mg/m³
crystal system = tetragonal
formation energy (no corrections) = 0.282 eV/f.u.

***

Record 8
IrAuBr2 | PBE | optimized geometry

```
IrAuBr2
1.0
-3.1089 6.7498 -0.1359
-6.3055 3.2703 2.1887
5.8019 -4.4589 1.3039
Ir Au Br
1 1 2
direct
0.5000 0.5000 0.0000
0.7500 0.2500 0.5000
0.0000 0.0000 0.0000
0.2500 0.7500 0.5000
```

Values from the calculation:
Fermi-level density of states = 5.43 states/eV/cell
excess energy over the best structure of this formula in the dataset = 800.9 meV per atom
ρ = 9.46 Mg/m³
crystal system = tetragonal
formation energy (no corrections) = 3.654 eV/f.u.

***

Record 9
Pm5IrSe5 | PBE | optimized geometry

```
Pm5IrSe5
1.0
5.9511 0.0000 0.0000
-2.9755 6.6980 -0.0499
0.0000 -2.5660 7.9803
Pm Ir Se
5 1 5
direct
0.8483 0.6965 0.1642
0.8409 0.6818 0.6729
0.5000 0.0000 0.0000
0.1591 0.3182 0.3271
0.1517 0.3035 0.8358
0.0000 0.0000 0.0000
0.6795 0.3590 0.3314
0.6716 0.3431 0.8396
0.0000 0.0000 0.5000
0.3284 0.6569 0.1604
0.3205 0.6410 0.6686
```

Values from the calculation:
Fermi-level density of states = 7.98 states/eV/cell
ρ = 6.87 Mg/m³
crystal system = monoclinic
formation energy (no corrections) = -17.908 eV/f.u.

***

Record 10
YRe | PBE | optimized geometry

```
YRe
1.0
3.3209 0.0000 0.0123
0.0000 4.2264 0.0000
1.6879 0.0000 6.5114
Re Y
2 2
direct
0.0839 0.0000 0.0411
0.1661 0.5000 0.2089
0.7679 0.5000 0.8080
0.4821 0.0000 0.4420
```

Values from the calculation:
Fermi-level density of states = 1.94 states/eV/cell
ρ = 10.01 Mg/m³
crystal system = monoclinic
ΔE_f = 0.265 eV/atom

***

Record 11
Tl2InTe2 | PBE | optimized geometry

```
Tl2InTe2
1.0
7.9004 0.0000 0.2083
0.0000 9.1454 0.0000
-0.7156 0.0000 10.1211
Tl In Te
8 4 8
direct
0.5139 0.2432 0.0792
0.0139 0.2568 0.0792
0.9861 0.7432 0.9208
0.4861 0.7568 0.9208
0.9985 0.7155 0.3332
0.4985 0.7845 0.3332
0.5015 0.2155 0.6668
0.0015 0.2845 0.6668
0.3460 0.3941 0.3681
0.6540 0.6059 0.6319
0.8460 0.1059 0.3681
0.1540 0.8941 0.6319
0.7561 0.9323 0.1243
0.2561 0.5677 0.1243
0.7439 0.4323 0.8757
0.2439 0.0677 0.8757
0.7329 0.4261 0.3926
0.2329 0.0739 0.3926
0.7671 0.9261 0.6074
0.2671 0.5739 0.6074
```

Values from the calculation:
Fermi-level density of states = 3.33 states/eV/cell
excess energy over the best structure of this formula in the dataset = 0.0 meV per atom
ρ = 7.06 Mg/m³
crystal system = monoclinic
formation energy (no corrections) = -1.318 eV/f.u.

***

Record 12
HgRuSCl2 | PBE | optimized geometry

```
HgRuSCl2
1.0
-4.4899 -2.1530 0.3797
1.8401 -4.1901 -1.9990
1.0507 -1.4752 4.0594
Ru S Hg Cl
1 1 1 2
direct
0.0000 0.0000 0.0000
0.0000 0.0000 0.5000
0.5000 0.5000 0.5000
0.0000 0.5000 0.0000
0.5000 0.0000 0.0000
```

Values from the calculation:
Fermi-level density of states = 2.40 states/eV/cell
excess energy over the best structure of this formula in the dataset = 0.0 meV per atom
ρ = 6.06 Mg/m³
crystal system = tetragonal
formation energy (no corrections) = -0.154 eV/f.u.

***

Repeat the twelfth record exactly.
HgRuSCl2 | PBE | optimized geometry

```
HgRuSCl2
1.0
-4.4899 -2.1530 0.3797
1.8401 -4.1901 -1.9990
1.0507 -1.4752 4.0594
Ru S Hg Cl
1 1 1 2
direct
0.0000 0.0000 0.0000
0.0000 0.0000 0.5000
0.5000 0.5000 0.5000
0.0000 0.5000 0.0000
0.5000 0.0000 0.0000
```

Values from the calculation:
Fermi-level density of states = 2.40 states/eV/cell
excess energy over the best structure of this formula in the dataset = 0.0 meV per atom
ρ = 6.06 Mg/m³
crystal system = tetragonal
formation energy (no corrections) = -0.154 eV/f.u.